No. 1
A plane-wave DFT calculation with PBE was carried out for a relaxed structure of K2TlPbCl8.

Summary:
- energy (eV per cell) = -36.51
- energy relative to the elements, uncorrected (eV/f.u.) = -13.5
- magnetic moment (Bohr magnetons per cell) = 0.47

abc: 6.852 8.533 6.865
angles: 90.00 94.20 90.00
Space group P2/m (No. 10)
Symmetry-distinct sites (fractional):
K  0.000  0.246  0.000 x2
Tl  0.500  0.000  0.500 x1
Pb  0.500  0.500  0.500 x1
Cl  0.162  0.500  0.282 x2
Cl  0.180  0.000  0.299 x2
Cl  0.373  0.245  0.721 x4

No. 2
A plane-wave DFT calculation with PBE was carried out for a relaxed structure of ZnIn2Ir.

Summary:
- energy (eV per cell) = -30.97
- E_form (meV/atom) = 31
- magnetic moment (Bohr magnetons per cell) = 0.00

abc: 4.232 4.232 8.019
angles: 90.00 90.00 90.00
Space group I4/mmm (No. 139)
Symmetry-distinct sites (fractional):
Zn  0.000  0.000  0.000 x2
In  0.000  0.500  0.250 x4
Ir  0.000  0.000  0.500 x2

No. 3
A plane-wave DFT calculation with PBE was carried out for a relaxed structure of Pm7Tl2Sn2.

Summary:
- energy (eV per cell) = -96.59
- E_form (meV/atom) = -209
- magnetic moment (Bohr magnetons per cell) = 0.00

abc: 8.335 11.426 7.839
angles: 90.00 90.00 90.00
Space group Cmmm (No. 65)
Symmetry-distinct sites (fractional):
Pm  0.000  0.000  0.000 x2
Pm  0.000  0.500  0.265 x4
Pm  0.250  0.250  0.286 x8
Tl  0.177  0.000  0.500 x4
Sn  0.000  0.289  0.000 x4

No. 4
A plane-wave DFT calculation with PBE was carried out for a relaxed structure of ScCdBi2.

Summary:
- energy (eV per cell) = -61.34
- E_form (meV/atom) = -81
- magnetic moment (Bohr magnetons per cell) = 0.00

abc: 8.293 8.293 6.688
angles: 90.00 90.00 90.00
Space group I-42d (No. 122)
Symmetry-distinct sites (fractional):
Sc  0.000  0.000  0.000 x4
Cd  0.000  0.000  0.500 x4
Bi  0.249  0.250  0.125 x8